Density functional theory data (PBE with a Hubbard U) for crystalline Co4Cu3AgO12 at its relaxed geometry.

Cell lengths 6.2909, 6.2909, 6.2909 Å; angles 109.47, 109.47, 109.47 degrees
Last column: nearest neighbours and their distance in Å.
Fractional positions:
1 Co 0.0000 0.0000 0.5000  6 O 1.95
2 Co 0.0000 0.5000 0.0000  6 O 1.95
3 Co 0.5000 0.0000 0.0000  6 O 1.95
4 Co 0.5000 0.5000 0.5000  6 O 1.95
5 Cu 0.0000 0.5000 0.5000  4 O 1.87
6 Cu 0.5000 0.0000 0.5000  4 O 1.87
7 Cu 0.5000 0.5000 0.0000  4 O 1.87
8 Ag 0.0000 0.0000 0.0000  12 O 2.62
9 O 0.1366 0.3137 0.8230  1 Cu 1.87, 2 Co 1.95
10 O 0.1771 0.4907 0.3137  1 Cu 1.87, 2 Co 1.95
11 O 0.1771 0.8634 0.6863  1 Cu 1.87, 2 Co 1.95
12 O 0.3137 0.1771 0.4907  1 Cu 1.87, 2 Co 1.95
13 O 0.3137 0.8230 0.1366  1 Cu 1.87, 2 Co 1.95
14 O 0.4907 0.3137 0.1771  1 Cu 1.87, 2 Co 1.95
15 O 0.5093 0.6863 0.8230  1 Cu 1.87, 2 Co 1.95
16 O 0.6863 0.1771 0.8634  1 Cu 1.87, 2 Co 1.95
17 O 0.6863 0.8230 0.5093  1 Cu 1.87, 2 Co 1.95
18 O 0.8230 0.1366 0.3137  1 Cu 1.87, 2 Co 1.95
19 O 0.8230 0.5093 0.6863  1 Cu 1.87, 2 Co 1.95
20 O 0.8634 0.6863 0.1771  1 Cu 1.87, 2 Co 1.95

Summary:
VASP energy: -5.3290 eV per atom
space-group type: Im-3 (204)